A crystal of CoTeBr relaxed with PBEsol. Source: Alexandria, functional SCAN.

Unit cell a=3.580 b=3.580 c=6.193 alpha=90.00 beta=90.00 gamma=120.00
Sites, in units of the cell vectors:
1 Te 0.667 0.333 0.446
2 Co 0.333 0.667 0.665
3 Br 0.000 0.000 0.889

Summary:
Formation energy (no corrections): -0.31 eV/atom
Magnetic moment: 0.01 μB/f.u.